# CaZr3Mo

CaZr3Mo after structural relaxation (PBE-GGA, the Alexandria database).

abc: 5.1747 5.1747 5.1747
angles: 90.00 90.00 90.00
Closest atoms and distances in Å follow each position.
Space group Pm-3m (No. 221)
Unique sites:
Ca 0.0000 0.0000 0.0000 [1 per cell]  12 Zr 3.66
Zr 0.0000 0.5000 0.5000 [3 per cell]  2 Mo 2.59
Mo 0.5000 0.5000 0.5000 [1 per cell]  6 Zr 2.59

D(E_F), states/eV per atom: 2.367
Total energy, eV/cell: -35.924
Polymorph energy (0 for the lowest one), meV per atom: 0
Formation energy, eV per formula unit: 2.6